DFT (PBE) results for VSiTc after structural relaxation.

```
data_VSiTc
_cell_length_a 2.952
_cell_length_b 14.037
_cell_length_c 3.976
_cell_angle_alpha 90.00
_cell_angle_beta 90.00
_cell_angle_gamma 90.00
_symmetry_space_group_name_H-M 'C m c m'
_symmetry_Int_Tables_number 63
_symmetry_space_group_name_Hall '-C 2c 2'
loop_
_atom_site_label
_atom_site_fract_x
_atom_site_fract_y
_atom_site_fract_z
V1 0.000 0.225 0.250
Si1 0.000 0.053 0.250
Tc1 0.000 0.406 0.250
```

## Properties
E_tot = -8.503 eV/atom
Spin magnetization = 0.0 μB/f.u.
E above lowest polymorph = 30.8 kJ/mol of atoms
V = 164.8 Å³ per cell
Energy relative to the elements, uncorrected = -0.2005 eV per atom



DFT (PBE) results for La2AsOsSe after structural relaxation.

```
data_La2AsOsSe
_cell_length_a 5.673
_cell_length_b 5.673
_cell_length_c 4.809
_cell_angle_alpha 90.00
_cell_angle_beta 90.00
_cell_angle_gamma 90.00
_symmetry_space_group_name_H-M 'P 4/m m m'
_symmetry_Int_Tables_number 123
_symmetry_space_group_name_Hall '-P 4 2'
loop_
_atom_site_label
_atom_site_fract_x
_atom_site_fract_y
_atom_site_fract_z
La1 0.000 0.500 0.000
As1 0.000 0.000 0.000
Os1 0.500 0.500 0.500
Se1 0.000 0.000 0.500
```

## Properties
E_tot = -5.417 eV/atom
Spin magnetization = 1.1 μB/f.u.
V = 154.7 Å³ per cell
Energy relative to the elements, uncorrected = 0.4266 eV per atom



DFT (PBE) results for AcTl6Pd12 after structural relaxation.

```
data_AcTl6Pd12
_cell_length_a 12.1589
_cell_length_b 12.1589
_cell_length_c 9.1890
_cell_angle_alpha 90.00
_cell_angle_beta 90.00
_cell_angle_gamma 120.00
_symmetry_space_group_name_H-M 'R -3 m'
_symmetry_Int_Tables_number 166
_symmetry_space_group_name_Hall '-R 3 2"'
loop_
_atom_site_label
_atom_site_fract_x
_atom_site_fract_y
_atom_site_fract_z
Ac1 0.0000 0.0000 0.0000
Tl1 0.0557 0.5278 0.2437
Pd1 0.0000 0.3874 0.5000
Pd2 0.0806 0.1612 0.2818
```

## Properties
E_tot = -4.419 eV/atom
Spin magnetization = 0.0 μB/f.u.
DFT formation energy = -3.3 eV per formula unit
V = 1176.5 Å³ per cell



DFT (PBE) results for InP2RhO after structural relaxation.

```
data_InP2RhO
_cell_length_a 5.048
_cell_length_b 5.048
_cell_length_c 3.856
_cell_angle_alpha 90.00
_cell_angle_beta 90.00
_cell_angle_gamma 90.00
_symmetry_space_group_name_H-M 'P 4/m m m'
_symmetry_Int_Tables_number 123
_symmetry_space_group_name_Hall '-P 4 2'
loop_
_atom_site_label
_atom_site_fract_x
_atom_site_fract_y
_atom_site_fract_z
In1 0.000 0.000 0.000
P1 0.000 0.500 0.000
Rh1 0.500 0.500 0.500
O1 0.000 0.000 0.500
```

## Properties
E_tot = -4.197 eV/atom
Spin magnetization = 0.0 μB/f.u.
E above lowest polymorph = 79.9 kJ/mol of atoms
V = 98.3 Å³ per cell
Energy relative to the elements, uncorrected = 0.9764 eV per atom